#A
A geometry-optimized TlReAs2 structure, computed with PBE-GGA.

Density of states at the Fermi level, states/eV/f.u.: 4.15

a b c (Å): 6.709 6.709 6.709
angles (deg): 90.00 90.00 90.00
Space group F-43m (No. 216)
Unique sites:
Tl (0.000, 0.000, 0.000) x4
Re (0.250, 0.250, 0.250) x4
As (0.000, 0.000, 0.500) x4
As (0.250, 0.250, 0.750) x4


#B
A geometry-optimized TlReAs2 structure, computed with PBE-GGA.

Density of states at the Fermi level, states/eV/f.u.: 2.11

a b c (Å): 3.264 3.996 8.020
angles (deg): 90.00 99.53 90.00
Space group Pm (No. 6)
Unique sites:
Tl (0.000, 0.000, 0.000) x1
Re (0.181, 0.500, 0.472) x1
As (0.351, 0.000, 0.629) x1
As (0.587, 0.500, 0.246) x1


Least stable structure: #A


#A
A geometry-optimized TlRe3As structure, computed with PBE-GGA.

Density of states at the Fermi level, states/eV/f.u.: 8.64

a b c (Å): 4.953 4.953 4.953
angles (deg): 90.00 90.00 90.00
Space group Pm-3m (No. 221)
Unique sites:
Tl (0.000, 0.000, 0.000) x1
Re (0.000, 0.000, 0.500) x3
As (0.500, 0.500, 0.500) x1


#B
A geometry-optimized TlRe3As structure, computed with PBE-GGA.

Density of states at the Fermi level, states/eV/f.u.: 5.88

a b c (Å): 4.604 4.604 4.604
angles (deg): 90.00 90.00 90.00
Space group Pm-3m (No. 221)
Unique sites:
Tl (0.000, 0.000, 0.000) x1
Re (0.000, 0.500, 0.500) x3
As (0.500, 0.500, 0.500) x1


Least stable structure: #A


#A
A geometry-optimized U2ReAs structure, computed with PBE-GGA.

Density of states at the Fermi level, states/eV/f.u.: 7.47

a b c (Å): 3.681 3.681 5.701
angles (deg): 90.00 90.00 90.00
Space group P4/mmm (No. 123)
Unique sites:
U (0.000, 0.000, 0.225) x2
Re (0.500, 0.500, 0.500) x1
As (0.500, 0.500, 0.000) x1


#B
A geometry-optimized U2ReAs structure, computed with PBE-GGA.

Density of states at the Fermi level, states/eV/f.u.: 6.12

a b c (Å): 3.0193 3.0193 28.9155
angles (deg): 90.00 90.00 120.00
Space group R-3m (No. 166, hexagonal axes)
Unique sites:
U (0.0000, 0.0000, 0.2467) x6
Re (0.0000, 0.0000, 0.5000) x3
As (0.0000, 0.0000, 0.0000) x3


Least stable structure: #B


#A
A geometry-optimized V3ReAs structure, computed with PBE-GGA.

Density of states at the Fermi level, states/eV/f.u.: 6.75

a b c (Å): 4.601 4.601 4.601
angles (deg): 90.00 90.00 90.00
Space group Pm-3m (No. 221)
Unique sites:
V (0.000, 0.000, 0.500) x3
Re (0.000, 0.000, 0.000) x1
As (0.500, 0.500, 0.500) x1


#B
A geometry-optimized V3ReAs structure, computed with PBE-GGA.

Density of states at the Fermi level, states/eV/f.u.: 6.53

a b c (Å): 4.385 4.385 4.385
angles (deg): 90.00 90.00 90.00
Space group Pm-3m (No. 221)
Unique sites:
V (0.000, 0.000, 0.500) x3
Re (0.500, 0.500, 0.500) x1
As (0.000, 0.000, 0.000) x1


Least stable structure: #A


#A
A geometry-optimized VReAs structure, computed with PBE-GGA.

Density of states at the Fermi level, states/eV/f.u.: 3.16

a b c (Å): 4.2595 4.2595 2.8327
angles (deg): 90.00 90.00 120.00
Space group P-6m2 (No. 187)
Unique sites:
V (0.0000, 0.0000, 0.0000) x1
Re (0.6667, 0.3333, 0.5000) x1
As (0.3333, 0.6667, 0.5000) x1


#B
A geometry-optimized VReAs structure, computed with PBE-GGA.

Density of states at the Fermi level, states/eV/f.u.: 1.65

a b c (Å): 4.325 4.324 10.525
angles (deg): 90.00 91.77 90.00
Space group C2/m (No. 12)
Unique sites:
V (0.244, 0.000, 0.428) x4
Re (0.235, 0.500, 0.292) x4
As (0.222, 0.000, 0.143) x4


Least stable structure: #A


#A
A geometry-optimized ReAs3W structure, computed with PBE-GGA.

Density of states at the Fermi level, states/eV/f.u.: 3.59

a b c (Å): 4.802 4.802 4.802
angles (deg): 90.00 90.00 90.00
Space group Pm-3m (No. 221)
Unique sites:
Re (0.000, 0.000, 0.000) x1
As (0.000, 0.000, 0.500) x3
W (0.500, 0.500, 0.500) x1


#B
A geometry-optimized ReAs3W structure, computed with PBE-GGA.

Density of states at the Fermi level, states/eV/f.u.: 1.51

a b c (Å): 6.578 3.159 8.634
angles (deg): 90.00 102.66 90.00
Space group P2_1/m (No. 11)
Unique sites:
Re (0.189, 0.250, 0.489) x2
As (0.006, 0.750, 0.284) x2
As (0.227, 0.750, 0.038) x2
As (0.486, 0.750, 0.647) x2
W (0.384, 0.250, 0.863) x2


Least stable structure: #A